DFT (GGA-PBEsol) results for ScInGe2C after structural relaxation.

Cell lengths 4.3192, 4.3192, 4.7604 Å; angles 90.00, 90.00, 90.00 degrees
Fractional coordinates of all 5 atoms:
Sc 0.0000 0.0000 0.0000
In 0.5000 0.5000 0.0000
Ge 0.0000 0.5000 0.5000
Ge 0.5000 0.0000 0.5000
C 0.5000 0.5000 0.5000

Results
Energy of formation from the pure elements ... 0.67 eV per atom
Final energy ... -5.1559 eV per atom
Crystal system ... tetragonal
Spin magnetization ... 0.0 μB per formula unit
N(E_F) ... 3.6 states/eV per cell